4
Lattice="4.896 0.000 0.000 0.000 4.896 0.000 0.000 0.000 4.896" Properties=species:S:1:pos:R:3 comment="Ta3Re | Alexandria | GGA-PBE | optimized geometry" crystal_system=cubic formation_enthalpy_0k_ev_per_atom=2.02 spacegroup="Pm-3m (221)" n_ef_per_ev_cell=7.411 total_energy_ev_per_cell=-39.9 pbc="T T T"
Ta 0.000 0.000 2.448
Ta 0.000 2.448 0.000
Ta 2.448 0.000 0.000
Re 0.000 0.000 0.000